Material: MnSnCl4
Method: DFT, PBE-GGA
State: relaxed

Cell: 6.388 6.676 8.942 Å, 90.00 90.00 90.00°
Fractional coordinates of all 12 atoms:
Mn  0.473  0.361  0.000
Mn  0.973  0.639  0.500
Sn  0.061  0.975  0.000
Sn  0.561  0.025  0.500
Cl  0.392  0.699  0.000
Cl  0.836  0.334  0.000
Cl  0.305  0.172  0.804
Cl  0.805  0.828  0.696
Cl  0.336  0.666  0.500
Cl  0.892  0.301  0.500
Cl  0.805  0.828  0.304
Cl  0.305  0.172  0.196

E_form (uncorrected) = -1016 meV per atom
Fermi-level density of states = 0.000 states/eV/f.u.
Space group = Pmn2_1
Mass density = 2.75 g/cm3
V = 31.78 Å³ per atom
Crystal system = orthorhombic
Final energy = -0.32654 Ry per atom
ΔE to the lowest computed polymorph = 0.0000 eV per atom